# 1
VASP calculation (GGA-PBE) on a geometry-optimized RbMgPt4 structure.

Structure (POSCAR):
```
RbMgPt4
1.0
0.000 3.870 3.870
3.870 0.000 3.870
3.870 3.870 0.000
Rb Mg Pt
1 1 4
direct
0.000 0.000 0.000
0.750 0.750 0.750
0.375 0.375 0.375
0.375 0.375 0.874
0.375 0.874 0.375
0.874 0.375 0.375
```

Values from the calculation:
**Total energy**: -4.65 eV per atom
**Formation enthalpy at 0 K**: -1.15 eV/f.u.

***

# 2
VASP calculation (GGA-PBE) on a geometry-optimized CuTeH2 structure.

Structure (POSCAR):
```
CuTeH2
1.0
3.199 0.000 0.000
0.007 4.499 0.000
1.473 0.728 11.566
Cu Te H
2 2 4
direct
0.000 0.000 0.000
0.500 0.500 0.000
0.079 0.691 0.827
0.921 0.309 0.173
0.193 0.228 0.597
0.259 0.252 0.533
0.741 0.748 0.467
0.807 0.772 0.403
```

Values from the calculation:
**Relative energy among the computed polymorphs**: 0 meV/atom
**Total energy**: -3.45 eV per atom

***

# 3
VASP calculation (GGA-PBE) on a geometry-optimized Cr2PRh structure.

Structure (POSCAR):
```
Cr2PRh
1.0
2.755 0.000 0.000
-1.377 2.386 0.000
0.000 0.000 22.963
Cr P Rh
6 3 3
direct
0.000 0.000 0.000
0.000 0.000 0.254
0.333 0.667 0.667
0.333 0.667 0.920
0.667 0.333 0.333
0.667 0.333 0.587
0.000 0.000 0.510
0.333 0.667 0.177
0.667 0.333 0.843
0.000 0.000 0.758
0.333 0.667 0.425
0.667 0.333 0.092
```

Values from the calculation:
**Total energy**: -8.00 eV per atom
**Formation enthalpy at 0 K**: 0.02 eV/f.u.

***

# 4
VASP calculation (GGA-PBE) on a geometry-optimized TbCu2Ge structure.

Structure (POSCAR):
```
TbCu2Ge
1.0
3.455 0.000 0.000
0.000 4.291 0.000
0.000 0.000 5.052
Tb Cu Ge
1 2 1
direct
0.000 0.000 0.000
0.500 0.500 0.246
0.500 0.500 0.754
0.500 0.000 0.500
```

Values from the calculation:
**Total energy**: -4.62 eV per atom
**Formation enthalpy at 0 K**: -1.05 eV/f.u.

***

# 5
VASP calculation (GGA-PBE) on a geometry-optimized MgTe2Pt structure.

Structure (POSCAR):
```
MgTe2Pt
1.0
3.494 0.000 0.000
0.000 3.494 0.000
0.000 0.000 7.403
Mg Te Pt
1 2 1
direct
0.000 0.000 0.000
0.500 0.500 0.269
0.500 0.500 0.731
0.000 0.000 0.500
```

Values from the calculation:
**Uncorrected formation energy**: 0.041 eV per atom
**Total energy**: -3.44 eV per atom

***

# 6
VASP calculation (GGA-PBE) on a geometry-optimized CsK2AgI4 structure.

Structure (POSCAR):
```
CsK2AgI4
1.0
2.481 -8.505 0.000
2.481 8.505 0.000
0.000 0.000 17.632
Cs K Ag I
2 4 2 8
direct
0.110 0.890 0.750
0.890 0.110 0.250
0.369 0.631 0.554
0.369 0.631 0.946
0.631 0.369 0.054
0.631 0.369 0.446
0.164 0.836 0.250
0.836 0.164 0.750
0.000 0.000 0.000
0.000 0.000 0.500
0.267 0.733 0.122
0.267 0.733 0.378
0.427 0.573 0.750
0.573 0.427 0.250
0.733 0.267 0.622
0.733 0.267 0.878
```

Values from the calculation:
**Uncorrected formation energy**: -1.191 eV per atom
**Total energy**: -2.70 eV per atom

***

# 7
VASP calculation (GGA-PBE) on a geometry-optimized Mn2CoIr structure.

Structure (POSCAR):
```
Mn2CoIr
1.0
2.601 0.000 0.000
-1.300 2.252 0.000
0.000 0.000 24.646
Mn Co Ir
6 3 3
direct
0.000 0.000 0.247
0.000 0.000 0.753
0.333 0.667 0.420
0.333 0.667 0.913
0.667 0.333 0.087
0.667 0.333 0.580
0.000 0.000 0.500
0.333 0.667 0.167
0.667 0.333 0.833
0.000 0.000 0.000
0.333 0.667 0.667
0.667 0.333 0.333
```

Values from the calculation:
**Total energy**: -8.45 eV per atom
**Formation enthalpy at 0 K**: 0.52 eV/f.u.

***

# 8
VASP calculation (GGA-PBE) on a geometry-optimized PrTaCo structure.

Structure (POSCAR):
```
PrTaCo
1.0
4.406 0.000 0.000
0.000 4.406 0.000
0.000 0.000 6.531
Pr Ta Co
2 2 2
direct
0.250 0.250 0.121
0.750 0.750 0.879
0.250 0.750 0.500
0.750 0.250 0.500
0.250 0.250 0.677
0.750 0.750 0.323
```

Values from the calculation:
**Total energy**: -8.02 eV per atom
**Formation enthalpy at 0 K**: -0.31 eV/f.u.

***

# 9
VASP calculation (GGA-PBE) on a geometry-optimized TbNd2Dy7 structure.

Structure (POSCAR):
```
TbNd2Dy7
1.0
3.257 -14.444 0.000
3.257 14.444 0.000
0.000 0.000 3.515
Tb Nd Dy
1 2 7
direct
0.000 0.000 0.000
0.293 0.707 0.500
0.707 0.293 0.500
0.148 0.344 0.500
0.185 0.815 0.000
0.344 0.148 0.500
0.500 0.500 0.500
0.656 0.852 0.500
0.815 0.185 0.000
0.852 0.656 0.500
```

Values from the calculation:
**Relative energy among the computed polymorphs**: 143 meV/atom
**Total energy**: -4.48 eV per atom
**Formation enthalpy at 0 K**: 1.58 eV/f.u.

***

# 10
VASP calculation (GGA-PBE) on a geometry-optimized ScTaSe2 structure.

Structure (POSCAR):
```
ScTaSe2
1.0
7.814 0.000 0.000
0.000 3.449 0.000
-1.551 0.000 5.719
Sc Ta Se
2 2 4
direct
0.000 0.000 0.000
0.500 0.500 0.000
0.000 0.500 0.500
0.500 0.000 0.500
0.246 0.000 0.731
0.254 0.500 0.269
0.746 0.500 0.731
0.754 0.000 0.269
```

Values from the calculation:
**Uncorrected formation energy**: -0.695 eV per atom
**Relative energy among the computed polymorphs**: 205 meV/atom
**Total energy**: -6.98 eV per atom

***

# 11
VASP calculation (GGA-PBE) on a geometry-optimized Te2MoWN structure.

Structure (POSCAR):
```
Te2MoWN
1.0
5.408 0.000 0.000
0.000 5.408 0.000
0.000 0.000 3.746
Te Mo W N
2 1 1 1
direct
0.000 0.500 0.000
0.500 0.000 0.000
0.000 0.000 0.000
0.500 0.500 0.500
0.000 0.000 0.500
```

Values from the calculation:
**Uncorrected formation energy**: 1.026 eV per atom
**Relative energy among the computed polymorphs**: 223 meV/atom
**Total energy**: -6.65 eV per atom

***

# 12
VASP calculation (GGA-PBE) on a geometry-optimized YHf2Au2 structure.

Structure (POSCAR):
```
YHf2Au2
1.0
8.079 0.000 0.000
0.000 8.079 0.000
0.000 0.000 3.313
Y Hf Au
2 4 4
direct
0.000 0.000 0.000
0.500 0.500 0.000
0.157 0.343 0.000
0.343 0.843 0.000
0.657 0.157 0.000
0.843 0.657 0.000
0.140 0.640 0.500
0.360 0.140 0.500
0.640 0.860 0.500
0.860 0.360 0.500
```

Values from the calculation:
**Relative energy among the computed polymorphs**: 156 meV/atom
**Total energy**: -6.84 eV per atom
**Formation enthalpy at 0 K**: -1.26 eV/f.u.

***

# 13
VASP calculation (GGA-PBE) on a geometry-optimized SrFeSe2 structure.

Structure (POSCAR):
```
SrFeSe2
1.0
3.922 0.000 0.000
-1.961 3.397 0.000
0.000 0.000 18.737
Sr Fe Se
3 3 6
direct
0.000 0.000 0.000
0.333 0.667 0.667
0.667 0.333 0.333
0.000 0.000 0.500
0.333 0.667 0.167
0.667 0.333 0.833
0.000 0.000 0.225
0.000 0.000 0.775
0.333 0.667 0.441
0.333 0.667 0.892
0.667 0.333 0.108
0.667 0.333 0.559
```

Values from the calculation:
**Uncorrected formation energy**: -0.767 eV per atom
**Relative energy among the computed polymorphs**: 94 meV/atom
**Total energy**: -5.05 eV per atom

***

# 14
VASP calculation (GGA-PBE) on a geometry-optimized CdP2 structure.

Structure (POSCAR):
```
CdP2
1.0
6.333 0.000 0.000
0.000 6.333 0.000
0.000 0.000 6.333
Cd P
4 8
direct
0.000 0.000 0.000
0.000 0.500 0.500
0.500 0.000 0.500
0.500 0.500 0.000
0.250 0.250 0.250
0.250 0.250 0.750
0.250 0.750 0.250
0.250 0.750 0.750
0.750 0.250 0.250
0.750 0.250 0.750
0.750 0.750 0.250
0.750 0.750 0.750
```

Values from the calculation:
**Total energy**: -3.26 eV per atom
**Formation enthalpy at 0 K**: 1.96 eV/f.u.

***

# 15
VASP calculation (GGA-PBE) on a geometry-optimized Mg3Mo structure.

Structure (POSCAR):
```
Mg3Mo
1.0
2.816 0.000 0.000
0.000 4.813 0.000
-0.926 0.000 5.578
Mg Mo
3 1
direct
0.000 0.000 0.000
0.236 0.500 0.731
0.764 0.500 0.269
0.500 0.000 0.500
```

Values from the calculation:
**Relative energy among the computed polymorphs**: 113 meV/atom
**Total energy**: -3.59 eV per atom
**Formation enthalpy at 0 K**: 1.24 eV/f.u.

***

# 16
VASP calculation (GGA-PBE) on a geometry-optimized ZrMoPt structure.

Structure (POSCAR):
```
ZrMoPt
1.0
4.498 0.000 0.000
0.000 3.372 0.000
-1.619 0.000 7.020
Zr Mo Pt
2 2 2
direct
0.142 0.000 0.326
0.858 0.000 0.674
0.000 0.500 0.000
0.500 0.000 0.000
0.372 0.500 0.678
0.628 0.500 0.322
```

Values from the calculation:
**Relative energy among the computed polymorphs**: 73 meV/atom
**Total energy**: -8.92 eV per atom
**Formation enthalpy at 0 K**: -1.35 eV/f.u.

***

# 17
VASP calculation (GGA-PBE) on a geometry-optimized Ac2HoRh structure.

Structure (POSCAR):
```
Ac2HoRh
1.0
3.794 0.000 0.000
0.000 3.794 0.000
0.000 0.000 8.949
Ac Ho Rh
2 1 1
direct
0.000 0.000 0.197
0.000 0.000 0.803
0.500 0.500 0.500
0.500 0.500 0.000
```

Values from the calculation:
**Relative energy among the computed polymorphs**: 0 meV/atom
**Total energy**: -5.23 eV per atom
**Formation enthalpy at 0 K**: -0.76 eV/f.u.

***

# 18
VASP calculation (GGA-PBE) on a geometry-optimized Cs2HfH2S4 structure.

Structure (POSCAR):
```
Cs2HfH2S4
1.0
8.986 -1.748 0.000
8.986 1.748 0.000
-2.930 0.000 6.863
Cs Hf H S
2 1 2 4
direct
0.143 0.143 0.135
0.857 0.857 0.865
0.000 0.000 0.500
0.331 0.331 0.375
0.669 0.669 0.625
0.161 0.161 0.656
0.499 0.499 0.260
0.501 0.501 0.740
0.839 0.839 0.344
```

Values from the calculation:
**Total energy**: -4.77 eV per atom

***

# 19
VASP calculation (GGA-PBE) on a geometry-optimized Cd2MoW structure.

Structure (POSCAR):
```
Cd2MoW
1.0
4.230 0.000 0.000
0.000 4.230 0.000
0.000 0.000 7.934
Cd Mo W
4 2 2
direct
0.000 0.000 0.000
0.000 0.500 0.250
0.500 0.000 0.750
0.500 0.500 0.500
0.000 0.500 0.750
0.500 0.000 0.250
0.000 0.000 0.500
0.500 0.500 0.000
```

Values from the calculation:
**Relative energy among the computed polymorphs**: 368 meV/atom
**Total energy**: -5.74 eV per atom
**Formation enthalpy at 0 K**: 2.64 eV/f.u.

***

# 20
VASP calculation (GGA-PBE) on a geometry-optimized Ta2Pt3 structure.

Structure (POSCAR):
```
Ta2Pt3
1.0
3.422 0.000 0.000
-1.711 2.963 0.000
0.000 0.000 27.815
Ta Pt
6 9
direct
0.000 0.000 0.099
0.000 0.000 0.901
0.333 0.667 0.567
0.333 0.667 0.766
0.667 0.333 0.234
0.667 0.333 0.433
0.000 0.000 0.293
0.000 0.000 0.500
0.000 0.000 0.707
0.333 0.667 0.167
0.333 0.667 0.373
0.333 0.667 0.960
0.667 0.333 0.040
0.667 0.333 0.627
0.667 0.333 0.833
```

Values from the calculation:
**Relative energy among the computed polymorphs**: 327 meV/atom
**Total energy**: -8.60 eV per atom
**Formation enthalpy at 0 K**: -1.20 eV/f.u.

***

# 21
VASP calculation (GGA-PBE) on a geometry-optimized TiInCu structure.

Structure (POSCAR):
```
TiInCu
1.0
3.832 0.000 0.000
0.000 12.862 0.000
0.000 0.000 4.142
Ti In Cu
4 4 4
direct
0.000 0.248 0.250
0.000 0.752 0.750
0.500 0.252 0.750
0.500 0.748 0.250
0.000 0.082 0.750
0.000 0.918 0.250
0.500 0.418 0.250
0.500 0.582 0.750
0.000 0.405 0.750
0.000 0.595 0.250
0.500 0.095 0.250
0.500 0.905 0.750
```

Values from the calculation:
**Total energy**: -4.96 eV per atom
**Formation enthalpy at 0 K**: -0.15 eV/f.u.

***

# 22
VASP calculation (GGA-PBE) on a geometry-optimized ErHgC2O8 structure.

Structure (POSCAR):
```
ErHgC2O8
1.0
5.127 0.000 0.000
-2.564 4.440 0.000
0.000 0.000 6.770
Er Hg C O
1 1 2 8
direct
0.000 0.000 0.000
0.000 0.000 0.500
0.333 0.667 0.718
0.667 0.333 0.282
0.186 0.372 0.783
0.186 0.814 0.783
0.333 0.667 0.515
0.372 0.186 0.217
0.628 0.814 0.783
0.667 0.333 0.485
0.814 0.186 0.217
0.814 0.628 0.217
```

Values from the calculation:
**Uncorrected formation energy**: -1.095 eV per atom
**Total energy**: -6.34 eV per atom

***

# 23
VASP calculation (GGA-PBE) on a geometry-optimized Y2PRuC structure.

Structure (POSCAR):
```
Y2PRuC
1.0
5.304 0.000 0.000
0.000 5.304 0.000
0.000 0.000 3.509
Y P Ru C
2 1 1 1
direct
0.000 0.500 0.000
0.500 0.000 0.000
0.000 0.000 0.000
0.500 0.500 0.500
0.000 0.000 0.500
```

Values from the calculation:
**Total energy**: -6.92 eV per atom
**Formation enthalpy at 0 K**: 2.22 eV/f.u.

***

# 24
VASP calculation (GGA-PBE) on a geometry-optimized Er8Al2Ir structure.

Structure (POSCAR):
```
Er8Al2Ir
1.0
9.252 -2.485 0.000
9.252 2.485 0.000
-1.640 0.000 6.307
Er Al Ir
8 2 1
direct
0.024 0.024 0.284
0.214 0.214 0.810
0.351 0.351 0.524
0.409 0.409 0.053
0.591 0.591 0.947
0.649 0.649 0.476
0.786 0.786 0.190
0.976 0.976 0.716
0.186 0.186 0.250
0.814 0.814 0.750
0.500 0.500 0.500
```

Values from the calculation:
**Total energy**: -5.13 eV per atom
**Formation enthalpy at 0 K**: -3.62 eV/f.u.

***

# 25
VASP calculation (GGA-PBE) on a geometry-optimized SrTlCdO3 structure.

Structure (POSCAR):
```
SrTlCdO3
1.0
6.535 0.000 0.000
0.000 3.387 0.000
-0.640 0.000 9.891
Sr Tl Cd O
2 2 2 6
direct
0.178 0.250 0.227
0.822 0.750 0.773
0.215 0.250 0.590
0.785 0.750 0.410
0.347 0.750 0.897
0.653 0.250 0.103
0.123 0.250 0.817
0.175 0.750 0.432
0.398 0.750 0.125
0.602 0.250 0.875
0.825 0.250 0.568
0.877 0.750 0.183
```

Values from the calculation:
**Uncorrected formation energy**: -1.358 eV per atom
**Total energy**: -4.66 eV per atom

***

# 26
VASP calculation (GGA-PBE) on a geometry-optimized NdSm6Er3Th2 structure.

Structure (POSCAR):
```
NdSm6Er3Th2
1.0
3.118 -5.392 0.000
3.118 5.392 0.000
-2.078 0.000 11.741
Nd Sm Er Th
1 6 3 2
direct
0.000 0.000 0.000
0.084 0.422 0.250
0.254 0.254 0.750
0.422 0.084 0.250
0.578 0.916 0.750
0.746 0.746 0.250
0.916 0.578 0.750
0.167 0.833 0.500
0.500 0.500 0.500
0.833 0.167 0.500
0.333 0.667 0.000
0.667 0.333 0.000
```

Values from the calculation:
**Total energy**: -5.09 eV per atom
**Formation enthalpy at 0 K**: 0.50 eV/f.u.